1.
Er2UTl3Se6 | Alexandria via LeMat-Bulk | GGA-PBE | relaxed; total magnetic moment = 3.02 μB per formula unit; ΔE_f (raw) = -115.21 kJ/mol of atoms; VASP energy = -5.229 eV/atom
1.0
-1.002 -6.579 2.810
2.947 0.714 -6.556
6.473 2.249 4.480
Se Er Tl U
6 2 3 1
direct
0.594 0.932 0.796
0.068 0.406 0.204
0.406 0.068 0.204
0.271 0.271 0.797
0.932 0.594 0.796
0.729 0.729 0.203
0.333 0.667 0.000
0.667 0.333 0.000
0.166 0.834 0.500
0.834 0.166 0.500
0.500 0.500 0.500
0.000 0.000 0.000


2.
SiSn3Sb | Alexandria via LeMat-Bulk | GGA-PBE | relaxed; energy above the most stable polymorph in this dataset = 0 meV/atom; total magnetic moment = 0.00 μB per formula unit; ΔE_f (raw) = 41.78 kJ/mol of atoms; VASP energy = -3.878 eV/atom
1.0
5.247 0.000 0.000
0.000 5.247 0.000
0.000 0.000 5.247
Si Sn Sb
1 3 1
direct
0.000 0.000 0.000
0.000 0.000 0.500
0.500 0.000 0.000
0.000 0.500 0.000
0.500 0.500 0.500


3.
NaCo2Ag | Alexandria via LeMat-Bulk | GGA-PBE | relaxed; energy above the most stable polymorph in this dataset = 45 meV/atom; total magnetic moment = 3.15 μB per formula unit; energy relative to the elements = 0.826 eV/atom; VASP energy = -3.770 eV/atom
1.0
3.701 -0.359 2.393
-0.015 1.120 4.278
0.330 -3.130 3.106
Co Ag Na
2 1 1
direct
0.750 0.750 0.750
0.250 0.250 0.250
0.500 0.500 0.500
0.000 0.000 0.000


4.
TeRuBr2 | Alexandria via LeMat-Bulk | GGA-PBE | relaxed; total magnetic moment = 0.73 μB per formula unit; ΔE_f (raw) = 21.35 kJ/mol of atoms; VASP energy = -3.720 eV/atom
1.0
-2.770 -0.975 -9.016
2.684 -9.093 0.159
-2.387 -5.712 -3.635
Ru Br Te
2 4 2
direct
0.500 0.500 0.000
0.250 0.750 0.500
0.875 0.725 0.750
0.275 0.625 0.250
0.375 0.525 0.750
0.475 0.125 0.250
0.750 0.250 0.500
0.000 0.000 0.000


5.
DyIn3Cu2 | Alexandria via LeMat-Bulk | GGA-PBE | relaxed; total magnetic moment = 0.00 μB per formula unit; energy relative to the elements = -0.099 eV/atom; VASP energy = -3.601 eV/atom
1.0
-3.765 2.015 3.971
-0.127 -5.620 -1.551
2.783 -0.920 3.105
In Cu Dy
3 2 1
direct
0.000 0.500 0.500
0.500 0.000 0.500
0.500 0.500 0.500
0.333 0.667 0.000
0.667 0.333 0.000
0.000 0.000 0.000


6.
KTaOs2O | Alexandria via LeMat-Bulk | GGA-PBE | relaxed; total magnetic moment = 3.61 μB per formula unit; ΔE_f (raw) = 99.70 kJ/mol of atoms; VASP energy = -7.040 eV/atom
1.0
-0.311 -5.080 0.329
1.280 -0.326 -3.825
4.829 -0.190 1.632
Os Ta O K
2 1 1 1
direct
0.500 0.000 0.000
0.000 0.000 0.500
0.000 0.000 0.000
0.000 0.500 0.000
0.500 0.500 0.500


7.
AcLaBr2 | Alexandria via LeMat-Bulk | GGA-PBE | relaxed; energy above the most stable polymorph in this dataset = 46 meV/atom; total magnetic moment = 0.61 μB per formula unit; ΔE_f (raw) = -113.56 kJ/mol of atoms; VASP energy = -4.272 eV/atom
1.0
3.917 0.000 0.000
1.959 3.392 0.000
1.959 1.131 10.687
Br Ac La
2 1 1
direct
0.901 0.901 0.297
0.099 0.099 0.703
0.000 0.000 0.000
0.500 0.500 0.500


8.
K3NdBr6 | Alexandria via LeMat-Bulk | GGA-PBE | relaxed; total magnetic moment = 0.00 μB per formula unit; ΔE_f (raw) = -175.96 kJ/mol of atoms; VASP energy = -3.633 eV/atom
1.0
7.967 0.000 0.089
0.000 8.518 0.000
0.229 0.000 11.437
Br Nd K
12 2 6
direct
0.859 0.937 0.233
0.668 0.218 0.582
0.332 0.782 0.418
0.141 0.063 0.767
0.793 0.681 0.560
0.168 0.282 0.082
0.207 0.319 0.440
0.707 0.181 0.940
0.641 0.437 0.267
0.293 0.819 0.060
0.832 0.718 0.918
0.359 0.563 0.733
0.000 0.000 0.000
0.500 0.500 0.500
0.000 0.000 0.500
0.532 0.920 0.761
0.032 0.580 0.261
0.500 0.500 0.000
0.968 0.420 0.739
0.468 0.080 0.239